Record 1
KI2F | the Alexandria database | PBE | optimized geometry; symmetry = No. 225; offset from the most stable computed form = 214 meV per atom; formation energy from raw total energies = -0.596 eV per atom
1.0
2.6914 -2.0694 4.5346
-2.9608 -1.6928 4.5230
-0.3700 -5.5147 1.2411
I K F
2 1 1
Cartesian
-0.1599 -2.3192 2.5747
-0.4796 -6.9577 7.7241
-0.3197 -4.6385 5.1494
0.0000 0.0000 0.0000

Record 2
UHg3 | the Alexandria database | PBE | optimized geometry; formation enthalpy at 0 K = 0.192 eV per atom; symmetry = No. 25
1.0
-0.0728 1.9230 2.3739
-4.6006 -2.1166 1.5733
2.9943 -4.0197 3.3480
Hg U
3 1
Cartesian
-1.3435 -2.3427 1.8564
0.1160 -3.3895 4.7160
1.5099 -1.1144 2.9160
0.0347 -0.0466 0.0388

Record 3
GaNi2SnBi | the Alexandria database | PBE | optimized geometry; formation enthalpy at 0 K = 0.917 eV per atom; symmetry = No. 123
1.0
4.8241 0.0000 0.0000
0.0000 5.9319 0.0000
0.0000 0.0000 4.8241
Ni Sn Bi Ga
2 1 1 1
Cartesian
2.4121 0.0000 0.0000
0.0000 0.0000 2.4121
0.0000 2.9660 0.0000
0.0000 0.0000 0.0000
2.4121 2.9660 2.4121

Record 4
ZrP2Se | the Alexandria database | PBE | optimized geometry; symmetry = No. 119; formation energy from raw total energies = -0.212 eV per atom
1.0
5.4809 0.0000 0.0000
2.7674 4.7309 0.0000
-4.1241 -2.3655 2.7269
P Se Zr
2 1 1
Cartesian
1.3837 2.3655 1.3635
0.0000 0.0000 0.0000
4.1241 2.3655 0.0000
2.7404 0.0000 1.3635

Calculated N(E_F) (states/eV/cell), listed in the same order as above: 4.7; 5.9; 4.5; 2.3
Calculated total magnetization (μB/cell), listed in the same order as above: 2.00; 3.40; 0.00; 0.00